# PmPu2Hg6 PBE-GGA optimized geometry
data_PmPu2Hg6
_symmetry_space_group_name_H-M 'R -3 m'
_symmetry_Int_Tables_number 166
_symmetry_space_group_name_Hall '-R 3 2"'
_cell_length_a 8.8051
_cell_length_b 8.8051
_cell_length_c 9.9615
_cell_angle_alpha 90.00
_cell_angle_beta 90.00
_cell_angle_gamma 120.00
loop_
_atom_site_label
_atom_site_fract_x
_atom_site_fract_y
_atom_site_fract_z
Pm1 0.0000 0.0000 0.0000
Pu1 0.0000 0.0000 0.3394
Hg1 0.0000 0.3340 0.5000
# M_tot = 35.32 μB per cell
# V = 668.8 Å³/cell
# ΔE_f = -0.2508 eV per atom
# DOS at the Fermi energy = 65.120 states/eV per cell